Record 1
First-principles (PBE-GGA) data for crystalline Sr2TcBr at its relaxed geometry, as listed in Alexandria.

The structure in POSCAR format:
```
Sr2TcBr
1.0
9.344 0.009 0.005
8.536 3.802 0.005
8.536 1.819 3.338
Sr Tc Br
2 1 1
Direct
0.995 0.995 0.995
0.505 0.505 0.505
0.250 0.250 0.250
0.750 0.750 0.750
```

## Properties
magnetic moment = 0.15 μB/atom
mass density = 5.0 g/cm3
offset from the most stable computed form = 0.1134 eV per atom

---

Record 2
First-principles (PBE-GGA) data for crystalline Te2Au at its relaxed geometry, as listed in Alexandria.

The structure in POSCAR format:
```
Te2Au
1.0
2.064 -10.071 0.000
2.064 10.071 0.000
0.000 0.000 4.162
Te Au
4 2
Direct
0.150 0.850 0.750
0.451 0.549 0.750
0.549 0.451 0.250
0.850 0.150 0.250
0.759 0.241 0.750
0.241 0.759 0.250
```

## Properties
magnetic moment = 0.00 μB/atom
mass density = 8.7 g/cm3
total DFT energy (no corrections) = -3.093 eV/atom